# 1
This record from the Alexandria database describes a relaxed HfScTl2 crystal. The functional is PBE.

The value obtained for the total magnetization is 0.00 μB/cell. For the energy above the most stable polymorph in this dataset, the calculation gives 1.94 eV/f.u. As for the formation energy: 420 meV per atom. The calculation puts the calculated volume at 27.42 Å³ per atom.

It has space group Immm (No. 71), with a = 3.226 Å, b = 5.640 Å, c = 12.058 Å, α = 90.00°, β = 90.00° and γ = 90.00°. The asymmetric unit holds Hf at (0.000, 0.000, 0.000), Sc at (0.000, 0.000, 0.500) and Tl at (0.000, 0.000, 0.249).

=====

# 2
This record from the Alexandria database describes a relaxed Hf4Sc2Tl crystal. The functional is PBE.

The value obtained for the total magnetization is 0.05 μB/cell. As for the formation energy: 78 meV per atom. The calculation puts the calculated volume at 23.40 Å³ per atom.

It has space group Cmmm (No. 65), with a = 3.141 Å, b = 33.471 Å, c = 3.117 Å, α = 90.00°, β = 90.00° and γ = 90.00°. The asymmetric unit holds Hf at (0.000, 0.071, 0.000), Hf at (0.000, 0.363, 0.500), Sc at (0.000, 0.206, 0.000) and Tl at (0.000, 0.500, 0.500).